Entry P
Below is KSb2Pb4 after structural relaxation, with properties calculated at the GGA-PBE level.

**Spin magnetization**: 0.0000 μB/atom

Unit cell a=9.9931 b=9.9931 c=5.0760 alpha=90.00 beta=90.00 gamma=151.26
Last column: nearest neighbours and their distance in Å.
Element x y z (fractional)
1 K 0.0000 0.0000 0.0000  8 Sb 3.85, 4 Pb 4.30
2 Sb 0.4227 0.5773 0.5000  1 Sb 2.99, 4 Pb 3.17-3.31
3 Sb 0.5773 0.4227 0.5000  1 Sb 2.99, 4 Pb 3.17-3.31
4 Pb 0.1795 0.8205 0.5000  2 Sb 3.17, 4 Pb 3.55
5 Pb 0.3133 0.6867 0.0000  2 Sb 3.31, 8 Pb 3.49-3.63
6 Pb 0.6867 0.3133 0.0000  2 Sb 3.31, 8 Pb 3.49-3.63
7 Pb 0.8205 0.1795 0.5000  2 Sb 3.17, 4 Pb 3.55



Entry Q
Below is KSb2Pb4 after structural relaxation, with properties calculated at the GGA-PBE level.

**Spin magnetization**: 0.0000 μB/atom

Unit cell a=5.5064 b=5.5064 c=9.6542 alpha=111.50 beta=111.50 gamma=64.87
Last column: nearest neighbours and their distance in Å.
Element x y z (fractional)
1 K 0.0000 0.0000 0.0000  6 Sb 3.61-3.79, 4 Pb 3.85-3.89
2 Sb 0.2408 0.2408 0.7900  5 Pb 3.08-3.40
3 Sb 0.7592 0.7592 0.2100  5 Pb 3.08-3.40
4 Pb 0.1581 0.1581 0.4449  2 Sb 3.08-3.40, 2 Pb 3.35
5 Pb 0.4429 0.4429 0.2910  3 Sb 3.33-3.35, 5 Pb 3.47-3.70
6 Pb 0.5571 0.5571 0.7090  3 Sb 3.33-3.35, 5 Pb 3.47-3.70
7 Pb 0.8419 0.8419 0.5551  2 Sb 3.08-3.40, 2 Pb 3.35



Of them, entry Q has the lowest stability.



Entry P
Below is KSb2TePb after structural relaxation, with properties calculated at the GGA-PBE level.

**Spin magnetization**: 0.2912 μB/atom

Unit cell a=5.9044 b=5.9044 c=6.1457 alpha=90.00 beta=90.00 gamma=90.00
Last column: nearest neighbours and their distance in Å.
Element x y z (fractional)
1 K 0.0000 0.0000 0.0000  4 Te 4.18, 8 Sb 4.26
2 Sb 0.0000 0.5000 0.5000  2 Pb 2.95
3 Sb 0.5000 0.0000 0.5000  2 Pb 2.95
4 Te 0.5000 0.5000 0.0000  2 Pb 3.07
5 Pb 0.5000 0.5000 0.5000  4 Sb 2.95, 2 Te 3.07



Entry Q
Below is KSb2TePb after structural relaxation, with properties calculated at the GGA-PBE level.

**Spin magnetization**: 0.0000 μB/atom

Unit cell a=5.7942 b=5.7942 c=5.9530 alpha=90.00 beta=90.00 gamma=90.00
Last column: nearest neighbours and their distance in Å.
Element x y z (fractional)
1 K 0.0000 0.0000 0.0000  4 Sb 2.90, 2 Te 2.98
2 Sb 0.0000 0.5000 0.0000  2 K 2.90
3 Sb 0.5000 0.0000 0.0000  2 K 2.90
4 Te 0.0000 0.0000 0.5000  2 K 2.98
5 Pb 0.5000 0.5000 0.5000  4 Te 4.10, 8 Sb 4.15



Of them, entry Q has the lowest stability.



Entry P
Below is KScPb after structural relaxation, with properties calculated at the GGA-PBE level.

**Spin magnetization**: 0.0407 μB/atom

Unit cell a=3.4980 b=4.5365 c=13.4331 alpha=90.08 beta=97.26 gamma=90.00
Last column: nearest neighbours and their distance in Å.
Element x y z (fractional)
1 K 0.0808 0.2483 0.1525  2 K 3.50, 1 Sc 3.71, 4 Pb 3.77
2 K 0.9192 0.7517 0.8475  2 K 3.50, 1 Sc 3.71, 4 Pb 3.77
3 Sc 0.2164 0.2497 0.4310  5 Pb 3.09-3.13, 4 Sc 3.40
4 Sc 0.7836 0.7503 0.5690  5 Pb 3.09-3.13, 4 Sc 3.40
5 Pb 0.3294 0.2508 0.6632  5 Sc 3.09-3.13
6 Pb 0.6706 0.7492 0.3368  5 Sc 3.09-3.13



Entry Q
Below is KScPb after structural relaxation, with properties calculated at the GGA-PBE level.

**Spin magnetization**: 0.0000 μB/atom

Unit cell a=5.5503 b=5.5503 c=6.5239 alpha=90.00 beta=90.00 gamma=120.00
Last column: nearest neighbours and their distance in Å.
Element x y z (fractional)
1 K 0.0000 0.0000 0.0000  2 K 3.26, 6 Sc 3.60, 6 Pb 3.60
2 K 0.0000 0.0000 0.5000  2 K 3.26, 6 Pb 3.60, 6 Sc 3.60
3 Sc 0.3333 0.6667 0.2500  5 Pb 3.20-3.26
4 Sc 0.6667 0.3333 0.7500  5 Pb 3.20-3.26
5 Pb 0.3333 0.6667 0.7500  5 Sc 3.20-3.26
6 Pb 0.6667 0.3333 0.2500  5 Sc 3.20-3.26



Entry R
Below is KScPb after structural relaxation, with properties calculated at the GGA-PBE level.

**Spin magnetization**: 0.0377 μB/atom

Unit cell a=7.2872 b=7.2872 c=7.2889 alpha=90.00 beta=90.00 gamma=146.39
Last column: nearest neighbours and their distance in Å.
Element x y z (fractional)
1 K 0.2080 0.7920 0.7500  5 Pb 3.66-4.07, 4 Sc 4.02
2 K 0.7920 0.2080 0.2500  5 Pb 3.66-4.07, 4 Sc 4.02
3 Sc 0.5000 0.5000 0.0000  4 Pb 2.99
4 Sc 0.5000 0.5000 0.5000  4 Pb 2.99
5 Pb 0.0776 0.9224 0.2500  4 Sc 2.99
6 Pb 0.9224 0.0776 0.7500  4 Sc 2.99



Of them, entry Q has the lowest stability.



Entry P
Below is KScPb after structural relaxation, with properties calculated at the GGA-PBE level.

**Spin magnetization**: 0.0666 μB/atom

Unit cell a=6.4904 b=6.4904 c=10.9660 alpha=90.00 beta=90.00 gamma=120.00
Last column: nearest neighbours and their distance in Å.
Element x y z (fractional)
1 K 0.3333 0.6667 0.2500  3 Sc 3.75
2 K 0.6667 0.3333 0.7500  3 Sc 3.75
3 Sc 0.0000 0.0000 0.2500  2 Pb 2.74
4 Sc 0.0000 0.0000 0.7500  2 Pb 2.74
5 Pb 0.0000 0.0000 0.0000  2 Sc 2.74
6 Pb 0.0000 0.0000 0.5000  2 Sc 2.74



Entry Q
Below is KScPb after structural relaxation, with properties calculated at the GGA-PBE level.

**Spin magnetization**: 0.0000 μB/atom

Unit cell a=7.2456 b=5.1180 c=10.1727 alpha=90.00 beta=90.00 gamma=90.00
Last column: nearest neighbours and their distance in Å.
Element x y z (fractional)
1 K 0.1349 0.2500 0.0436  4 Pb 3.32-3.60, 2 K 3.34, 2 Sc 3.60
2 K 0.3651 0.7500 0.5436  4 Pb 3.32-3.60, 2 K 3.34, 2 Sc 3.60
3 K 0.6349 0.2500 0.4564  4 Pb 3.32-3.60, 2 K 3.34, 2 Sc 3.60
4 K 0.8651 0.7500 0.9564  4 Pb 3.32-3.60, 2 K 3.34, 2 Sc 3.60
5 Sc 0.0622 0.2500 0.6687  3 Pb 3.02-3.11
6 Sc 0.4378 0.7500 0.1687  3 Pb 3.02-3.11
7 Sc 0.5622 0.2500 0.8313  3 Pb 3.02-3.11
8 Sc 0.9378 0.7500 0.3313  3 Pb 3.02-3.11
9 Pb 0.1530 0.2500 0.3698  3 Sc 3.02-3.11, 1 K 3.32
10 Pb 0.3470 0.7500 0.8698  3 Sc 3.02-3.11, 1 K 3.32
11 Pb 0.6530 0.2500 0.1302  3 Sc 3.02-3.11, 1 K 3.32
12 Pb 0.8470 0.7500 0.6302  3 Sc 3.02-3.11, 1 K 3.32



Of them, entry P has the lowest stability.



Entry P
Below is KScPb after structural relaxation, with properties calculated at the GGA-PBE level.

**Spin magnetization**: 0.0000 μB/atom

Unit cell a=10.5526 b=10.5526 c=10.5526 alpha=27.59 beta=27.59 gamma=27.59
Last column: nearest neighbours and their distance in Å.
Element x y z (fractional)
1 K 0.0000 0.0000 0.0000  3 Pb 3.43
2 K 0.4276 0.4276 0.4276  3 Pb 3.77, 3 Sc 3.88, 3 K 4.08
3 Sc 0.1788 0.1788 0.1788  4 Pb 2.87-2.91
4 Sc 0.5686 0.5686 0.5686  6 Pb 3.13-3.47, 3 Sc 3.38
5 Pb 0.2731 0.2731 0.2731  4 Sc 2.87-3.13
6 Pb 0.8398 0.8398 0.8398  3 Sc 2.91



Entry Q
Below is KScPb after structural relaxation, with properties calculated at the GGA-PBE level.

**Spin magnetization**: 0.0000 μB/atom

Unit cell a=9.1239 b=5.1270 c=8.3333 alpha=90.00 beta=90.00 gamma=90.00
Last column: nearest neighbours and their distance in Å.
Element x y z (fractional)
1 K 0.0007 0.2500 0.1484  2 K 3.56, 5 Pb 3.63-3.84, 4 Sc 3.68-3.80
2 K 0.4993 0.7500 0.6484  2 K 3.56, 5 Pb 3.63-3.84, 4 Sc 3.68-3.80
3 K 0.5007 0.2500 0.3516  2 K 3.56, 5 Pb 3.63-3.84, 4 Sc 3.68-3.80
4 K 0.9993 0.7500 0.8516  2 K 3.56, 5 Pb 3.63-3.84, 4 Sc 3.68-3.80
5 Sc 0.1352 0.7500 0.4280  4 Pb 2.97-3.06
6 Sc 0.3648 0.2500 0.9280  4 Pb 2.97-3.06
7 Sc 0.6352 0.7500 0.0720  4 Pb 2.97-3.06
8 Sc 0.8648 0.2500 0.5720  4 Pb 2.97-3.06
9 Pb 0.1870 0.2500 0.6204  4 Sc 2.97-3.06
10 Pb 0.3130 0.7500 0.1204  4 Sc 2.97-3.06
11 Pb 0.6870 0.2500 0.8796  4 Sc 2.97-3.06
12 Pb 0.8130 0.7500 0.3796  4 Sc 2.97-3.06



Of them, entry P has the lowest stability.